Record 1
7
Lattice="3.685 -2.131 0.000 3.685 2.131 0.000 -2.455 0.000 6.971" Properties=species:S:1:pos:R:3 comment="PBE Ac2O2F3, relaxed" m_tot_mub_per_fu=1.006 formation_energy_uncorrected_ev_per_atom=-3.470 final_energy_ev_per_atom=-6.862 pbc="T T T"
Ac 1.232 0.000 1.574
Ac 3.682 0.000 5.397
O -1.228 0.000 5.854
O 6.142 0.000 1.117
F 1.228 0.000 4.169
F 3.685 0.000 0.000
F 3.686 0.000 2.801

Record 2
12
Lattice="4.463 0.000 0.000 -0.004 5.291 0.000 -2.113 -2.609 7.833" Properties=species:S:1:pos:R:3 comment="PBE Ac2OsO8F, relaxed" m_tot_mub_per_fu=1.008 formation_energy_uncorrected_ev_per_atom=-1.965 final_energy_ev_per_atom=-7.047 pbc="T T T"
Ac -0.219 1.178 2.089
Ac 2.564 1.504 5.744
Os 1.175 -1.304 3.917
O -0.105 3.742 2.624
O 0.669 2.650 0.068
O 0.261 0.276 4.537
O 0.264 2.859 5.122
O 2.081 -0.177 2.711
O 2.084 2.406 3.296
O 1.675 0.031 7.765
O 2.450 -1.060 5.209
F 0.000 0.000 0.000

Record 3
8
Lattice="4.829 0.000 0.000 1.478 4.646 0.000 0.576 1.782 5.869" Properties=species:S:1:pos:R:3 comment="PBE AcOsO4F2, relaxed" m_tot_mub_per_fu=1.017 formation_energy_uncorrected_ev_per_atom=-2.205 final_energy_ev_per_atom=-7.069 pbc="T T T"
Ac 0.000 0.000 0.000
Os 2.824 1.452 2.603
O 2.306 3.017 2.012
O 3.486 5.245 3.903
O 2.398 0.428 1.156
O 4.571 1.129 2.340
F 3.605 2.501 4.317
F 5.906 4.185 5.627

Record 4
14
Lattice="6.171 0.000 0.000 0.000 5.855 0.000 -2.875 0.000 6.200" Properties=species:S:1:pos:R:3 comment="PBE AcOsO4F, relaxed" m_tot_mub_per_fu=0.000 formation_energy_uncorrected_ev_per_atom=-1.965 final_energy_ev_per_atom=-7.256 pbc="T T T"
Ac 0.126 1.464 2.914
Ac 3.170 4.391 3.286
Os 0.054 4.391 4.986
Os 3.242 1.464 1.214
O -1.103 3.032 4.546
O -1.103 5.750 4.546
O 1.586 1.464 0.656
O 0.710 4.391 3.142
O 2.586 1.464 3.059
O 1.710 4.391 5.545
O 4.399 0.105 1.655
O 4.399 2.823 1.655
F 2.249 4.391 0.770
F 1.047 1.464 5.430

Record 5
14
Lattice="4.936 -3.809 0.000 4.936 3.809 0.000 -1.711 0.000 6.700" Properties=species:S:1:pos:R:3 comment="PBE AcPO4F, relaxed" m_tot_mub_per_fu=1.017 formation_energy_uncorrected_ev_per_atom=-2.742 final_energy_ev_per_atom=-7.203 pbc="T T T"
Ac 1.824 0.000 0.899
Ac 6.338 0.000 5.801
P 2.273 0.000 4.968
P 5.889 0.000 1.732
O 1.648 1.241 5.661
O 1.992 0.000 3.460
O 1.648 -1.241 5.661
O 4.356 0.000 1.552
O 3.805 0.000 5.148
O 6.514 1.241 1.039
O 6.170 0.000 3.241
O 6.514 -1.241 1.039
F -1.149 0.000 5.496
F 9.311 0.000 1.204

Record 6
9
Lattice="4.155 -2.759 0.000 4.155 2.759 0.000 -1.511 0.000 7.235" Properties=species:S:1:pos:R:3 comment="PBE Ac2PO4F2, relaxed" m_tot_mub_per_fu=0.455 formation_energy_uncorrected_ev_per_atom=-2.843 final_energy_ev_per_atom=-6.976 pbc="T T T"
Ac 0.377 0.000 2.029
Ac 6.422 0.000 5.206
P 3.400 0.000 3.618
O 2.531 1.191 2.838
O 4.268 1.191 4.397
O 2.531 -1.191 2.838
O 4.268 -1.191 4.397
F -0.205 0.000 7.039
F 7.004 0.000 0.196